1.
Density functional theory data (PBE) for a relaxed ZnMo3W crystal.

a = 4.492 Å, b = 4.492 Å, c = 4.492 Å
α = 90.00°, β = 90.00°, γ = 90.00°
Atoms (fractional coordinates):
Mo 0.000 0.500 0.000
Mo 0.000 0.000 0.500
Mo 0.500 0.000 0.000
Zn 0.000 0.000 0.000
W 0.500 0.500 0.500

Output
N(E_F) ... 8.0 states/eV/f.u.
Relative energy among the computed polymorphs ... 0.0098 eV/atom
Raw total energy ... -37.670 eV per cell
Space-group type ... Pm-3m (221)
ρ ... 9841 kg/m3
Formation enthalpy at 0 K ... 1.81 eV per atom
Total magnetic moment ... 0.00 μB per formula unit

=====

2.
Density functional theory data (PBE) for a relaxed Ti3Al3Pd2 crystal.

a = 4.108 Å, b = 4.049 Å, c = 7.518 Å
α = 90.00°, β = 90.00°, γ = 90.00°
Atoms (fractional coordinates):
Ti 0.500 0.500 0.752
Ti 0.500 0.500 0.248
Ti 0.500 0.000 0.000
Al 0.500 0.000 0.500
Al 0.000 0.500 0.000
Al 0.000 0.500 0.500
Pd 0.000 0.000 0.743
Pd 0.000 0.000 0.257

Output
N(E_F) ... 6.3 states/eV/f.u.
Raw total energy ... -49.740 eV per cell
Space-group type ... Pmmm (47)
ρ ... 5809 kg/m3
Formation enthalpy at 0 K ... -0.56 eV per atom
Total magnetic moment ... 1.65 μB per formula unit

=====

3.
Density functional theory data (PBE) for a relaxed Sc3In5 crystal.

a = 6.147 Å, b = 6.147 Å, c = 9.976 Å
α = 90.00°, β = 90.00°, γ = 101.58°
Atoms (fractional coordinates):
Sc 0.210 0.790 0.000
Sc 0.790 0.210 0.000
Sc 0.790 0.210 0.500
Sc 0.210 0.790 0.500
Sc 0.599 0.599 0.750
Sc 0.401 0.401 0.250
In 0.505 0.058 0.750
In 0.495 0.942 0.250
In 0.058 0.505 0.750
In 0.942 0.495 0.250
In 0.989 0.989 0.750
In 0.011 0.011 0.250
In 0.300 0.300 0.963
In 0.700 0.700 0.037
In 0.700 0.700 0.463
In 0.300 0.300 0.537

Output
N(E_F) ... 4.6 states/eV/f.u.
Relative energy among the computed polymorphs ... 0.0198 eV/atom
Raw total energy ... -70.922 eV per cell
Space-group type ... Cmcm (63)
ρ ... 6375 kg/m3
Formation enthalpy at 0 K ... -0.35 eV per atom
Total magnetic moment ... 0.00 μB per formula unit

=====

4.
Density functional theory data (PBE) for a relaxed YTh8C5 crystal.

a = 3.674 Å, b = 9.573 Å, c = 9.841 Å
α = 103.72°, β = 100.76°, γ = 90.00°
Atoms (fractional coordinates):
Y 0.500 0.500 0.000
Th 0.239 0.167 0.477
Th 0.761 0.833 0.523
Th 0.170 0.494 0.340
Th 0.830 0.506 0.660
Th 0.092 0.845 0.184
Th 0.908 0.155 0.816
Th 0.423 0.837 0.846
Th 0.577 0.163 0.154
C 0.295 0.656 0.590
C 0.705 0.344 0.411
C 0.335 0.009 0.670
C 0.665 0.990 0.330
C 0.000 0.000 0.000

Output
N(E_F) ... 15.1 states/eV/f.u.
Raw total energy ... -114.722 eV per cell
Space-group type ... C2/m (12)
ρ ... 10091 kg/m3
Formation enthalpy at 0 K ... -0.20 eV per atom
Total magnetic moment ... 0.01 μB per formula unit

=====

5.
Density functional theory data (PBE) for a relaxed SrLaAlCd crystal.

a = 5.572 Å, b = 5.572 Å, c = 5.572 Å
α = 60.00°, β = 60.00°, γ = 60.00°
Atoms (fractional coordinates):
Sr 0.000 0.000 0.000
Cd 0.750 0.750 0.750
Al 0.250 0.250 0.250
La 0.500 0.500 0.500

Output
N(E_F) ... 2.9 states/eV/f.u.
Raw total energy ... -12.327 eV per cell
Space-group type ... F-43m (216)
ρ ... 4966 kg/m3
Formation enthalpy at 0 K ... -0.26 eV per atom
Total magnetic moment ... 0.00 μB per formula unit

=====

6.
Density functional theory data (PBE) for a relaxed Y2GaAu2 crystal.

a = 5.652 Å, b = 5.652 Å, c = 5.649 Å
α = 59.98°, β = 59.98°, γ = 90.00°
Atoms (fractional coordinates):
Y 0.750 0.250 0.500
Y 0.250 0.750 0.500
Au 0.338 0.338 0.324
Au 0.662 0.662 0.676
Ga 0.000 0.000 0.000

Output
N(E_F) ... 3.5 states/eV/f.u.
Raw total energy ... -24.775 eV per cell
Space-group type ... I4/mmm (139)
ρ ... 8353 kg/m3
Formation enthalpy at 0 K ... -0.45 eV per atom
Total magnetic moment ... 0.00 μB per formula unit

=====

7.
Density functional theory data (PBE) for a relaxed MoIrRh2 crystal.

a = 3.859 Å, b = 3.859 Å, c = 3.904 Å
α = 90.00°, β = 90.00°, γ = 90.00°
Atoms (fractional coordinates):
Mo 0.000 0.500 0.500
Ir 0.500 0.000 0.500
Rh 0.000 0.000 0.000
Rh 0.500 0.500 0.000

Output
N(E_F) ... 2.9 states/eV/f.u.
Relative energy among the computed polymorphs ... 0.0643 eV/atom
Raw total energy ... -35.272 eV per cell
Space-group type ... P4/mmm (123)
ρ ... 14105 kg/m3
Formation enthalpy at 0 K ... -0.22 eV per atom
Total magnetic moment ... 0.00 μB per formula unit

=====

8.
Density functional theory data (PBE) for a relaxed TaGeS3 crystal.

a = 3.420 Å, b = 10.216 Å, c = 14.659 Å
α = 90.00°, β = 90.00°, γ = 90.00°
Atoms (fractional coordinates):
Ta 0.750 0.398 0.560
Ta 0.250 0.898 0.940
Ta 0.250 0.602 0.440
Ta 0.750 0.102 0.060
Ge 0.250 0.168 0.694
Ge 0.750 0.668 0.806
Ge 0.750 0.832 0.306
Ge 0.250 0.332 0.194
S 0.250 0.363 0.439
S 0.750 0.863 0.061
S 0.750 0.637 0.561
S 0.250 0.137 0.939
S 0.750 0.150 0.581
S 0.250 0.650 0.919
S 0.250 0.850 0.419
S 0.750 0.350 0.081
S 0.250 0.407 0.684
S 0.750 0.907 0.816
S 0.750 0.593 0.316
S 0.250 0.093 0.184

Output
N(E_F) ... 2.2 states/eV/f.u.
Relative energy among the computed polymorphs ... 0.0000 eV/atom
Raw total energy ... -129.256 eV per cell
Space-group type ... Pnma (62)
ρ ... 4536 kg/m3
Formation energy without anion corrections ... -0.692 eV/atom
Total magnetic moment ... 0.00 μB per formula unit